This record from the Alexandria database describes a relaxed KCdGeRh crystal. The functional is PBE.

Cell lengths 4.175, 4.175, 12.655 Å; angles 90.00, 90.00, 90.00 degrees
Space group P4/nmm (No. 129, origin choice 2)
One atom of each set of equivalent atoms:
K (0.250, 0.250, 0.241) x2
Cd (0.250, 0.750, 0.500) x2
Ge (0.250, 0.250, 0.899) x2
Rh (0.250, 0.750, 0.000) x2

Summary:
- Energy relative to the elements: -0.300 eV/atom
- D(E_F): 1.84 states/eV/f.u.
- Uncorrected energy: -3.80 eV/atom